No. 1
Entry from the Alexandria database: Ag2SbTe at its PBEsol-relaxed geometry (meta-GGA SCAN).

Values from the calculation:
Energy relative to the elements, uncorrected (eV per atom): 0.1829
VASP energy (eV/cell): -136.5
Energy above the most stable polymorph in this dataset (eV/atom): 0.1467

Cell: 3.8524 3.8524 6.0004 Å, 90.00 90.00 90.00°
Space group P4/mmm (No. 123)
One atom of each set of equivalent atoms:
Ag  0.0000  0.0000  0.2416 [2 per cell]
Sb  0.5000  0.5000  0.0000 [1 per cell]
Te  0.5000  0.5000  0.5000 [1 per cell]



No. 2
Entry from the Alexandria database: Ag2SbTe at its PBEsol-relaxed geometry (meta-GGA SCAN).

Values from the calculation:
Energy relative to the elements, uncorrected (eV per atom): 0.0362
VASP energy (eV/cell): -137.1
Energy above the most stable polymorph in this dataset (eV/atom): 0.0000

Cell: 3.0315 4.1704 7.3331 Å, 90.00 101.55 90.00°
Space group Pm (No. 6)
One atom of each set of equivalent atoms:
Ag  0.0000  0.0000  0.0000 [1 per cell]
Ag  0.4057  0.5000  0.8032 [1 per cell]
Sb  0.6009  0.5000  0.2048 [1 per cell]
Te  0.7900  0.0000  0.5789 [1 per cell]



No. 3
Entry from the Alexandria database: Ag2SbTe at its PBEsol-relaxed geometry (meta-GGA SCAN).

Values from the calculation:
Energy relative to the elements, uncorrected (eV per atom): 0.0953
VASP energy (eV/cell): -136.9
Energy above the most stable polymorph in this dataset (eV/atom): 0.0590

Cell: 4.2983 3.7994 5.7357 Å, 90.00 103.12 90.00°
Space group P2/m (No. 10)
One atom of each set of equivalent atoms:
Ag  0.0000  0.0000  0.0000 [1 per cell]
Ag  0.5000  0.5000  0.5000 [1 per cell]
Sb  0.0000  0.0000  0.5000 [1 per cell]
Te  0.5000  0.5000  0.0000 [1 per cell]



No. 4
Entry from the Alexandria database: AgSbTe at its PBEsol-relaxed geometry (meta-GGA SCAN).

Values from the calculation:
Energy relative to the elements, uncorrected (eV per atom): 0.2375
VASP energy (eV/cell): -105.2
Energy above the most stable polymorph in this dataset (eV/atom): 0.0000

Cell: 3.2502 3.2502 8.0590 Å, 90.00 90.00 120.00°
Space group P3m1 (No. 156)
One atom of each set of equivalent atoms:
Ag  0.0000  0.0000  0.0000 [1 per cell]
Sb  0.3333  0.6667  0.7186 [1 per cell]
Te  0.6667  0.3333  0.2922 [1 per cell]



No. 5
Entry from the Alexandria database: Ag3SbTe at its PBEsol-relaxed geometry (meta-GGA SCAN).

Values from the calculation:
Energy relative to the elements, uncorrected (eV per atom): 0.6171
VASP energy (eV/cell): -165.5

Cell: 5.1803 5.1803 5.1803 Å, 90.00 90.00 90.00°
Space group Pm-3m (No. 221)
One atom of each set of equivalent atoms:
Ag  0.0000  0.0000  0.5000 [3 per cell]
Sb  0.5000  0.5000  0.5000 [1 per cell]
Te  0.0000  0.0000  0.0000 [1 per cell]



No. 6
Entry from the Alexandria database: TiAgSb2Te at its PBEsol-relaxed geometry (meta-GGA SCAN).

Values from the calculation:
Energy relative to the elements, uncorrected (eV per atom): 0.2998
VASP energy (eV/cell): -157.7

Cell: 5.1923 5.1923 5.1530 Å, 90.00 90.00 90.00°
Space group P4/mmm (No. 123)
One atom of each set of equivalent atoms:
Ti  0.0000  0.0000  0.0000 [1 per cell]
Ag  0.5000  0.5000  0.5000 [1 per cell]
Sb  0.0000  0.5000  0.0000 [2 per cell]
Te  0.0000  0.0000  0.5000 [1 per cell]